Below is a relaxed Tm4Ga2HgRh crystal, with properties calculated at the PBE level.

Cell and atoms, written as POSCAR:
```
Tm4Ga2HgRh
1.0
5.003 0.000 0.000
2.502 4.333 0.000
2.502 1.444 8.137
Tm Ga Hg Rh
4 2 1 1
Cartesian
5.003 2.889 6.960
7.505 4.333 3.163
2.502 1.444 4.974
5.003 2.889 1.177
7.505 4.333 6.165
2.502 1.444 1.972
0.000 0.000 0.000
5.003 2.889 4.068
```

## Properties
Energy relative to the elements: -0.6344 eV/atom
VASP energy: -4.584 eV per atom

=====

Below is a relaxed Pu3Hf2TiP6 crystal, with properties calculated at the PBE level.

Cell and atoms, written as POSCAR:
```
Pu3Hf2TiP6
1.0
6.598 -0.002 0.000
-3.299 5.714 0.000
-1.101 -1.906 6.228
Pu Hf Ti P
3 2 1 6
Cartesian
-2.182 3.798 3.114
4.380 0.009 3.114
1.099 1.903 3.114
0.006 3.806 0.000
3.294 1.907 0.000
0.000 0.000 0.000
3.279 1.940 4.799
2.221 3.845 1.446
-1.080 1.867 1.429
0.042 3.809 4.799
-0.022 -0.038 4.782
2.157 -0.002 1.429
```

## Properties
Energy relative to the elements: -1.2288 eV/atom
VASP energy: -9.834 eV per atom

=====

Below is a relaxed ScRe2As crystal, with properties calculated at the PBE level.

Cell and atoms, written as POSCAR:
```
ScRe2As
1.0
-1.831 -0.555 2.545
0.214 -3.133 -0.530
5.147 -0.264 3.646
As Re Sc
1 2 1
Cartesian
3.051 -2.042 3.742
5.004 -0.257 3.545
2.716 -0.139 1.924
0.478 -1.910 1.919
```

## Properties
Energy relative to the elements: 0.1780 eV/atom
VASP energy: -8.791 eV per atom

=====

Below is a relaxed Sn5Se5I crystal, with properties calculated at the PBE level.

Cell and atoms, written as POSCAR:
```
Sn5Se5I
1.0
-2.217 -2.922 4.832
1.628 -7.682 -3.898
6.493 3.253 1.137
Sn Se I
5 5 1
Cartesian
3.298 -5.647 -1.902
2.411 -2.241 -0.249
-1.108 -1.461 2.416
3.493 -5.110 2.320
2.606 -1.704 3.974
4.744 -3.940 -0.206
3.748 0.040 1.744
0.814 -3.841 -1.949
2.156 -7.391 0.328
1.160 -3.411 2.278
0.000 0.000 0.000
```

## Properties
Formation energy (no corrections): -0.337 eV per atom
VASP energy: -3.881 eV per atom

=====

Below is a relaxed Ba2SCl crystal, with properties calculated at the PBE level.

Cell and atoms, written as POSCAR:
```
Ba2SCl
1.0
-3.461 2.821 0.664
0.424 -3.690 2.566
6.289 3.258 3.629
Ba S Cl
2 1 1
Cartesian
3.179 3.014 3.799
0.073 -0.624 3.060
0.000 0.000 0.000
3.356 -0.216 3.097
```

## Properties
Energy relative to the lowest polymorph listed for this composition: 0 meV per atom
Formation energy (no corrections): -1.969 eV per atom
VASP energy: -4.424 eV per atom